Arrangement w

Compound: Zr2TaAg2
Source: Alexandria
Functional: GGA-PBE
Structure: relaxed

## Properties
V (Å³/atom): 20.8

Unit cell a=3.9048 b=3.9048 c=13.6548 alpha=90.00 beta=90.00 gamma=90.00
With the nearest neighbours (Å) after each atom.
Space group I4/mmm (No. 139)
One atom of each set of equivalent atoms:
Zr1 0.0000 0.5000 0.2500  4 Zr 2.76, 4 Ag 2.90
Ta1 0.0000 0.0000 0.0000  8 Ag 3.04
Ag1 0.0000 0.0000 0.4066  1 Ag 2.55


Arrangement x

Compound: Zr2TaAg2
Source: Alexandria
Functional: GGA-PBE
Structure: relaxed

## Properties
V (Å³/atom): 20.2

Unit cell a=8.3438 b=8.3438 c=2.8983 alpha=90.00 beta=90.00 gamma=90.00
With the nearest neighbours (Å) after each atom.
Space group P4/mbm (No. 127)
One atom of each set of equivalent atoms:
Zr1 0.1818 0.3182 0.0000  6 Ag 2.79-2.93, 2 Zr 2.90
Ta1 0.0000 0.0000 0.5000  2 Ta 2.90
Ag1 0.1164 0.6164 0.5000  3 Ag 2.75-2.90, 6 Zr 2.79-2.93


Which is most stable, and by how much? arrangement x, by 46.0 kJ/mol of atoms.


Arrangement w

Compound: TbAg6
Source: Alexandria
Functional: GGA-PBE
Structure: relaxed

## Properties
V (Å³/atom): 28.1

Unit cell a=7.3312 b=7.3312 c=7.3312 alpha=90.00 beta=90.00 gamma=90.00
With the nearest neighbours (Å) after each atom.
Space group Im-3m (No. 229)
One atom of each set of equivalent atoms:
Tb1 0.0000 0.0000 0.0000  24 Ag 4.10
Ag1 0.0000 0.2500 0.5000  4 Ag 2.59


Arrangement x

Compound: TbAg6
Source: Alexandria
Functional: GGA-PBE
Structure: relaxed

## Properties
V (Å³/atom): 20.2

Unit cell a=8.9035 b=5.6645 c=11.2248 alpha=90.00 beta=90.00 gamma=90.00
With the nearest neighbours (Å) after each atom.
Space group Pnma (No. 62)
One atom of each set of equivalent atoms:
Tb1 0.2430 0.2500 0.0695  12 Ag 3.18-3.44
Ag1 0.0606 0.0089 0.3080  9 Ag 2.73-2.97
Ag2 0.0640 0.7500 0.0834  6 Ag 2.74-3.02
Ag3 0.1076 0.2500 0.5204  7 Ag 2.78-3.01
Ag4 0.1476 0.7500 0.8482  8 Ag 2.74-3.00
Ag5 0.1868 0.2500 0.7660  9 Ag 2.73-3.02


Which is most stable, and by how much? arrangement x, by 69.5 kJ/mol of atoms.


Arrangement w

Compound: Tb3Ag2
Source: Alexandria
Functional: GGA-PBE
Structure: relaxed

## Properties
V (Å³/atom): 26.0

Unit cell a=3.6239 b=3.6239 c=19.7647 alpha=90.00 beta=90.00 gamma=90.00
With the nearest neighbours (Å) after each atom.
Space group P4/mmm (No. 123)
One atom of each set of equivalent atoms:
Tb1 0.0000 0.0000 0.0000  8 Ag 3.16
Tb2 0.0000 0.0000 0.1878  8 Ag 3.16-3.17
Tb3 0.0000 0.0000 0.3741  4 Ag 3.15
Tb4 0.5000 0.5000 0.5000  12 Tb 3.57-3.62
Ag1 0.5000 0.5000 0.0935  8 Tb 3.16-3.17
Ag2 0.5000 0.5000 0.2813  8 Tb 3.15-3.16


Arrangement x

Compound: Tb3Ag2
Source: Alexandria
Functional: GGA-PBE
Structure: relaxed

## Properties
V (Å³/atom): 27.9

Unit cell a=15.3065 b=5.0950 c=10.7352 alpha=90.00 beta=90.10 gamma=90.00
With the nearest neighbours (Å) after each atom.
Space group C2/m (No. 12)
One atom of each set of equivalent atoms:
Tb1 0.0000 0.0000 0.0000  6 Ag 3.11
Tb2 0.0021 0.0000 0.6643  5 Ag 3.09-3.15
Tb3 0.1632 0.5000 0.6670  5 Ag 3.09-3.16
Tb4 0.1680 0.5000 0.3314  6 Ag 3.10-3.12
Tb5 0.1690 0.5000 0.9954  5 Ag 3.07-3.16
Ag1 0.0010 0.5000 0.1663  8 Tb 3.09-3.16
Ag2 0.1665 0.0000 0.1670  8 Tb 3.07-3.16
Ag3 0.1669 0.0000 0.4984  8 Tb 3.09-3.15


Which is most stable, and by how much? arrangement w, by 14.9 kJ/mol of atoms.


Arrangement w

Compound: TbThAg4
Source: Alexandria
Functional: GGA-PBE
Structure: relaxed

## Properties
V (Å³/atom): 22.3

Unit cell a=8.1213 b=8.1213 c=8.1213 alpha=90.00 beta=90.00 gamma=90.00
With the nearest neighbours (Å) after each atom.
Space group F-43m (No. 216)
One atom of each set of equivalent atoms:
Tb1 0.0000 0.0000 0.0000  12 Ag 3.37, 4 Th 3.52
Th1 0.2500 0.2500 0.7500  12 Ag 3.37, 4 Tb 3.52
Ag1 0.1252 0.1252 0.3748  6 Ag 2.87-2.88


Arrangement x

Compound: TbThAg4
Source: Alexandria
Functional: GGA-PBE
Structure: relaxed

## Properties
V (Å³/atom): 22.9

Unit cell a=5.3717 b=9.5375 c=5.3711 alpha=90.00 beta=90.00 gamma=90.00
With the nearest neighbours (Å) after each atom.
Space group Cmmm (No. 65)
One atom of each set of equivalent atoms:
Tb1 0.0000 0.0000 0.0000  10 Ag 3.09-3.17
Th1 0.0000 0.5000 0.5000  10 Ag 3.13-3.17
Ag1 0.0000 0.1714 0.5000  5 Ag 3.05-3.27, 3 Th 3.13-3.14, 2 Tb 3.14
Ag2 0.0000 0.3235 0.0000  5 Ag 3.03-3.37, 3 Tb 3.09-3.17, 2 Th 3.17


Which is most stable, and by how much? arrangement x, by 8.2 kJ/mol of atoms.


Arrangement w

Compound: Tb2TiAg
Source: Alexandria
Functional: GGA-PBE
Structure: relaxed

## Properties
V (Å³/atom): 24.4

Unit cell a=5.1321 b=5.1321 c=3.7054 alpha=90.00 beta=90.00 gamma=90.00
With the nearest neighbours (Å) after each atom.
Space group P4/mmm (No. 123)
One atom of each set of equivalent atoms:
Tb1 0.0000 0.5000 0.0000  4 Ti 3.16, 4 Ag 3.16
Ti1 0.0000 0.0000 0.5000  8 Tb 3.16
Ag1 0.5000 0.5000 0.5000  8 Tb 3.16


Arrangement x

Compound: Tb2TiAg
Source: Alexandria
Functional: GGA-PBE
Structure: relaxed

## Properties
V (Å³/atom): 24.9

Unit cell a=3.2219 b=3.2219 c=33.2213 alpha=90.00 beta=90.00 gamma=120.00
With the nearest neighbours (Å) after each atom.
Space group R-3m (No. 166, hexagonal axes)
One atom of each set of equivalent atoms:
Tb1 0.0000 0.0000 0.0889  1 Ti 2.95, 3 Ag 3.18, 6 Tb 3.22
Ti1 0.0000 0.0000 0.0000  2 Tb 2.95, 6 Ti 3.22
Ag1 0.0000 0.0000 0.5000  6 Tb 3.18, 6 Ag 3.22


Which is most stable, and by how much? arrangement w, by 33.2 kJ/mol of atoms.


Arrangement w

Compound: Tb4Tl2Ag
Source: Alexandria
Functional: GGA-PBE
Structure: relaxed

## Properties
V (Å³/atom): 29.3

Unit cell a=5.2579 b=5.2579 c=25.6718 alpha=90.00 beta=90.00 gamma=120.00
With the nearest neighbours (Å) after each atom.
Space group R-3m (No. 166, hexagonal axes)
One atom of each set of equivalent atoms:
Tb1 0.0000 0.0000 0.1243  3 Ag 3.22, 4 Tl 3.23-3.29
Tb2 0.0000 0.0000 0.3750  4 Tl 3.15-3.20, 1 Ag 3.21
Tl1 0.0000 0.0000 0.2523  8 Tb 3.15-3.29
Ag1 0.0000 0.0000 0.5000  8 Tb 3.21-3.22


Arrangement x

Compound: Tb4Tl2Ag
Source: Alexandria
Functional: GGA-PBE
Structure: relaxed

## Properties
V (Å³/atom): 29.1

Unit cell a=7.0735 b=6.7178 c=9.1002 alpha=90.00 beta=109.70 gamma=90.00
With the nearest neighbours (Å) after each atom.
Space group P2_1/m (No. 11)
One atom of each set of equivalent atoms:
Tb1 0.0867 0.2500 0.0520  1 Ag 2.95
Tb2 0.1757 0.0087 0.7264  1 Ag 2.93, 3 Tl 3.14-3.27, 1 Tb 3.24
Tb3 0.3252 0.7500 0.3498  1 Ag 3.14, 2 Tl 3.20-3.22
Tl1 0.2079 0.2500 0.4365  1 Ag 2.82, 2 Tb 3.14
Tl2 0.4301 0.7500 0.0345  1 Ag 3.12, 6 Tb 3.20-3.47
Ag1 0.4948 0.2500 0.2843  2 Tl 2.82-3.12, 4 Tb 2.93-3.14


Which is most stable, and by how much? arrangement w, by 5.5 kJ/mol of atoms.


Arrangement w

Compound: TbTlAg2
Source: Alexandria
Functional: GGA-PBE
Structure: relaxed

## Properties
V (Å³/atom): 23.7

Unit cell a=3.7964 b=3.7964 c=6.5726 alpha=90.00 beta=90.00 gamma=90.00
With the nearest neighbours (Å) after each atom.
Space group P4/mmm (No. 123)
One atom of each set of equivalent atoms:
Tb1 0.0000 0.0000 0.0000  8 Ag 3.10, 2 Tl 3.29
Tl1 0.0000 0.0000 0.5000  8 Ag 3.20, 2 Tb 3.29
Ag1 0.5000 0.5000 0.2358  1 Ag 3.10, 4 Tb 3.10, 4 Tl 3.20


Arrangement x

Compound: TbTlAg2
Source: Alexandria
Functional: GGA-PBE
Structure: relaxed

## Properties
V (Å³/atom): 22.2

Unit cell a=7.0778 b=7.0778 c=7.0778 alpha=90.00 beta=90.00 gamma=90.00
With the nearest neighbours (Å) after each atom.
Space group Fm-3m (No. 225)
One atom of each set of equivalent atoms:
Tb1 0.0000 0.0000 0.0000  8 Ag 3.06
Tl1 0.0000 0.0000 0.5000  8 Ag 3.06
Ag1 0.2500 0.2500 0.2500  4 Tb 3.06, 4 Tl 3.06


Arrangement y

Compound: TbTlAg2
Source: Alexandria
Functional: GGA-PBE
Structure: relaxed

## Properties
V (Å³/atom): 23.2

Unit cell a=4.5854 b=4.5854 c=4.4169 alpha=90.00 beta=90.00 gamma=90.00
With the nearest neighbours (Å) after each atom.
Space group P4/mmm (No. 123)
One atom of each set of equivalent atoms:
Tb1 0.0000 0.0000 0.0000  8 Ag 3.18, 4 Tl 3.24
Tl1 0.5000 0.5000 0.0000  8 Ag 3.18, 4 Tb 3.24
Ag1 0.0000 0.5000 0.5000  4 Tl 3.18, 4 Tb 3.18, 4 Ag 3.24


Which is most stable, and by how much? arrangement x, by 8.0 kJ/mol of atoms.


Arrangement w

Compound: Tb2Tl2Ag
Source: Alexandria
Functional: GGA-PBE
Structure: relaxed

## Properties
V (Å³/atom): 26.7

Unit cell a=7.6195 b=7.6195 c=4.5963 alpha=90.00 beta=90.00 gamma=90.00
With the nearest neighbours (Å) after each atom.
Space group P4/mbm (No. 127)
One atom of each set of equivalent atoms:
Tb1 0.1658 0.3342 0.0000  6 Tl 3.10-3.29
Tl1 0.1413 0.6413 0.5000  2 Ag 2.94, 1 Tl 3.05, 6 Tb 3.10-3.29
Ag1 0.0000 0.0000 0.5000  4 Tl 2.94


Arrangement x

Compound: Tb2Tl2Ag
Source: Alexandria
Functional: GGA-PBE
Structure: relaxed

## Properties
V (Å³/atom): 26.5

Unit cell a=11.3395 b=4.7687 c=10.7992 alpha=90.00 beta=114.60 gamma=90.00
With the nearest neighbours (Å) after each atom.
Space group C2/m (No. 12)
One atom of each set of equivalent atoms:
Tb1 0.0293 0.0000 0.3438  4 Ag 3.22-3.50, 7 Tl 3.23-3.50
Tb2 0.1694 0.0000 0.0949  6 Tl 3.16-3.48, 2 Ag 3.41, 1 Tb 3.52
Tl1 0.0421 0.5000 0.8766  1 Ag 2.89, 3 Tb 3.16-3.23, 1 Tl 3.18
Tl2 0.1412 0.5000 0.5886  2 Ag 2.80, 1 Tl 2.97
Ag1 0.2176 0.5000 0.3367  3 Tl 2.80-2.89


Which is most stable, and by how much? arrangement x, by 2.1 kJ/mol of atoms.


Arrangement w

Compound: Tb2TlAg3
Source: Alexandria
Functional: GGA-PBE
Structure: relaxed

## Properties
V (Å³/atom): 25.2

Unit cell a=3.9651 b=4.0558 c=18.8059 alpha=90.00 beta=90.00 gamma=90.00
With the nearest neighbours (Å) after each atom.
Space group Imm2 (No. 44)
One atom of each set of equivalent atoms:
Tb1 0.0000 0.0000 0.0000  4 Ag 3.06, 4 Tl 3.36
Tb2 0.0000 0.5000 0.2210  8 Ag 3.10-3.20
Tl1 0.0000 0.0000 0.4040  3 Ag 2.79-2.95
Ag1 0.0000 0.0000 0.5611  2 Ag 2.68, 1 Tl 2.95
Ag2 0.0000 0.5000 0.6547  3 Ag 2.68-2.73
Ag3 0.0000 0.5000 0.7997  1 Ag 2.73, 2 Tl 2.79


Arrangement x

Compound: Tb2TlAg3
Source: Alexandria
Functional: GGA-PBE
Structure: relaxed

## Properties
V (Å³/atom): 23.2

Unit cell a=6.6927 b=9.7438 c=17.0666 alpha=90.00 beta=90.00 gamma=90.00
With the nearest neighbours (Å) after each atom.
Space group Fmmm (No. 69)
One atom of each set of equivalent atoms:
Tb1 0.2453 0.0000 0.0000  10 Ag 3.23-3.31, 2 Tb 3.28-3.41, 2 Tl 3.31
Tb2 0.2500 0.2500 0.2500  4 Tl 3.28, 8 Ag 3.29-3.32, 2 Tb 3.35
Tl1 0.0000 0.0000 0.3336  3 Ag 2.86-2.87
Ag1 0.0000 0.0000 0.1654  2 Ag 2.80, 1 Tl 2.87
Ag2 0.0000 0.2467 0.0817  2 Ag 2.79-2.80, 1 Tl 2.86


Which is most stable, and by how much? arrangement x, by 10.0 kJ/mol of atoms.


Arrangement w

Compound: Tb4TlAg2
Source: Alexandria
Functional: GGA-PBE
Structure: relaxed

## Properties
V (Å³/atom): 27.5

Unit cell a=5.1900 b=5.1900 c=24.7466 alpha=90.00 beta=90.00 gamma=120.00
With the nearest neighbours (Å) after each atom.
Space group R-3m (No. 166, hexagonal axes)
One atom of each set of equivalent atoms:
Tb1 0.0000 0.0000 0.1150  4 Ag 3.07-3.23, 3 Tl 3.26
Tb2 0.0000 0.0000 0.3691  4 Ag 3.06-3.26, 1 Tl 3.24
Tl1 0.0000 0.0000 0.5000  8 Tb 3.24-3.26, 6 Ag 3.58
Ag1 0.0000 0.0000 0.2456  8 Tb 3.06-3.26


Arrangement x

Compound: Tb4TlAg2
Source: Alexandria
Functional: GGA-PBE
Structure: relaxed

## Properties
V (Å³/atom): 29.6

Unit cell a=4.9697 b=4.9697 c=29.0482 alpha=90.00 beta=90.00 gamma=120.00
With the nearest neighbours (Å) after each atom.
Space group R-3m (No. 166, hexagonal axes)
One atom of each set of equivalent atoms:
Tb1 0.0000 0.0000 0.1198  3 Tl 3.18, 3 Ag 3.27
Tb2 0.0000 0.0000 0.2964  4 Ag 2.99
Tl1 0.0000 0.0000 0.5000  2 Ag 2.93, 6 Tb 3.18
Ag1 0.0000 0.0000 0.3991  1 Tl 2.93, 7 Tb 2.99-3.27


Which is most stable, and by how much? arrangement w, by 12.5 kJ/mol of atoms.


Arrangement w

Compound: TbTm4Ag
Source: Alexandria
Functional: GGA-PBE
Structure: relaxed

## Properties
V (Å³/atom): 28.2

Unit cell a=3.5001 b=3.5001 c=13.8151 alpha=90.00 beta=90.00 gamma=90.00
With the nearest neighbours (Å) after each atom.
Space group P4/mmm (No. 123)
One atom of each set of equivalent atoms:
Tb1 0.0000 0.0000 0.0000  4 Tb 3.50, 8 Tm 3.52
Tm1 0.0000 0.0000 0.3627  4 Ag 3.12
Tm2 0.5000 0.5000 0.1811  8 Tm 3.50-3.52, 4 Tb 3.52
Ag1 0.5000 0.5000 0.5000  8 Tm 3.12


Arrangement x

Compound: TbTm4Ag
Source: Alexandria
Functional: GGA-PBE
Structure: relaxed

## Properties
V (Å³/atom): 29.4

Unit cell a=5.3543 b=20.7004 c=6.3559 alpha=90.00 beta=90.00 gamma=90.00
With the nearest neighbours (Å) after each atom.
Space group Cmc2_1 (No. 36)
One atom of each set of equivalent atoms:
Tb1 0.0000 0.1356 0.0000  2 Ag 3.19, 7 Tm 3.46-3.56
Tm1 0.0000 0.0661 0.4948  2 Ag 3.22, 2 Tb 3.46-3.52, 4 Tm 3.48-3.56
Tm2 0.0000 0.2579 0.3712  1 Ag 3.00, 2 Tm 3.17
Tm3 0.0000 0.3239 0.8605  1 Ag 2.92, 3 Tm 3.17-3.19
Tm4 0.0000 0.4651 0.6608  2 Ag 2.89-2.95, 1 Tm 3.19
Ag1 0.0000 0.3981 0.2509  6 Tm 2.89-3.22, 2 Tb 3.19


Which is most stable, and by how much? arrangement w, by 12.3 kJ/mol of atoms.